# 1
Material: Na3VRh3Se8
Method: DFT, GGA-PBE
State: relaxed

Unit cell a=7.489 b=7.489 c=8.096 alpha=117.57 beta=90.00 gamma=120.00
Last column: magnetic moment on the atom in μB.
Fractional positions:
1 Na 0.000 0.000 0.000  0.00
2 Na 0.000 0.500 0.000  0.00
3 Na 0.500 0.500 0.000  0.00
4 V 0.000 0.000 0.500  1.30
5 Rh 0.500 0.000 0.500  0.01
6 Rh 0.500 0.500 0.500  0.01
7 Rh 0.000 0.500 0.500  0.01
8 Se 0.271 0.542 0.312  -0.02
9 Se 0.729 0.458 0.688  -0.02
10 Se 0.768 0.536 0.305  -0.06
11 Se 0.232 0.464 0.695  -0.06
12 Se 0.768 0.037 0.305  -0.06
13 Se 0.232 0.963 0.695  -0.06
14 Se 0.270 0.037 0.305  -0.06
15 Se 0.730 0.963 0.695  -0.06

Properties
The crystal system is trigonal. The space group is R-3m (166).

# 2
Material: NdErGaSn
Method: DFT, GGA-PBE
State: relaxed

Unit cell a=5.284 b=5.284 c=5.284 alpha=60.00 beta=60.00 gamma=60.00
Fractional positions:
1 Nd 0.000 0.000 0.000
2 Sn 0.250 0.250 0.250
3 Ga 0.750 0.750 0.750
4 Er 0.500 0.500 0.500

Properties
The crystal system is cubic. The energy above the lowest structure with this stoichiometry is 0.1523 eV/atom. The space group is F-43m (216). The formation energy comes out at -0.535 eV/atom.

# 3
Material: Rb2LiReO4
Method: DFT, GGA-PBE
State: relaxed

Unit cell a=5.357 b=7.064 c=9.963 alpha=84.15 beta=74.41 gamma=67.72
Fractional positions:
1 Rb 0.171 0.000 0.657
2 Rb 0.829 0.000 0.343
3 Rb 0.579 0.500 0.843
4 Rb 0.921 0.500 0.157
5 Li 0.750 0.500 0.500
6 Li 0.000 0.000 0.000
7 Re 0.250 0.500 0.500
8 Re 0.500 0.000 0.000
9 O 0.330 0.812 0.055
10 O 0.197 0.188 0.945
11 O 0.857 0.812 0.945
12 O 0.615 0.188 0.055
13 O 0.420 0.688 0.445
14 O 0.553 0.312 0.555
15 O 0.893 0.688 0.555
16 O 0.135 0.312 0.445

Properties
The crystal system is orthorhombic. The space group is Fddd (70).

# 4
Material: CaZrBe2N
Method: DFT, GGA-PBE
State: relaxed

Unit cell a=4.244 b=4.340 c=4.244 alpha=90.00 beta=90.00 gamma=90.00
Last column: magnetic moment on the atom in μB.
Fractional positions:
1 Be 0.000 0.000 0.500  0.01
2 Be 0.500 0.000 0.000  0.01
3 Ca 0.500 0.500 0.500  0.08
4 Zr 0.000 0.500 0.000  0.32
5 N 0.000 0.000 0.000  -0.01

Properties
The crystal system is tetragonal. The energy above the lowest structure with this stoichiometry is 0.0000 eV/atom. The space group is P4/mmm (123).

E readings, ordered: -4.84 -4.63 -6.14 -4.93 eV/atom